Record 1
Here is a relaxed AcSm2Ag crystal from the Alexandria database. Energies are from PBE-GGA.

abc: 3.8104 5.7339 5.7339
angles: 90.00 90.00 90.00
Closest atoms and distances in Å follow each position.
Element x y z (fractional)
Sm: 0.0000 0.0000 0.5000  4 Ac 3.44, 4 Ag 3.44, 2 Sm 3.81
Ac: 0.5000 0.0000 0.0000  8 Sm 3.44, 2 Ac 3.81
Sm: 0.0000 0.5000 0.0000  4 Ac 3.44, 4 Ag 3.44, 2 Sm 3.81
Ag: 0.5000 0.5000 0.5000  8 Sm 3.44, 2 Ag 3.81

## Properties
Offset from the most stable computed form, meV/atom: 192
Crystal system: tetragonal
Uncorrected energy, eV/atom: -4.0088
Fermi-level density of states, states/eV per cell: 6.2
Formation enthalpy at 0 K, eV per atom: 0.091
Total magnetization, μB/cell: 0.000

Record 2
Here is a relaxed Ac2SmAg6 crystal from the Alexandria database. Energies are from PBE-GGA.

abc: 3.8001 8.9186 8.9186
angles: 54.81 77.70 77.70
Closest atoms and distances in Å follow each position.
Element x y z (fractional)
Ag: 0.1666 0.1622 0.5045  2 Ag 2.81-2.82
Ac: 0.3560 0.1440 0.1440  10 Ag 3.23-3.32
Ag: 0.1666 0.5045 0.1622  2 Ag 2.81-2.82
Ag: 0.8334 0.4955 0.8378  2 Ag 2.81-2.82
Ag: 0.0000 0.8143 0.1857  3 Ag 2.82-3.05
Ac: 0.6440 0.8560 0.8560  10 Ag 3.23-3.32
Sm: 0.5000 0.5000 0.5000  12 Ag 3.20-3.49
Ag: 0.8334 0.8378 0.4955  2 Ag 2.81-2.82
Ag: 0.0000 0.1857 0.8143  3 Ag 2.82-3.05

## Properties
Offset from the most stable computed form, meV/atom: 117
Crystal system: orthorhombic
Uncorrected energy, eV/atom: -3.4889
Fermi-level density of states, states/eV per cell: 6.8
Formation enthalpy at 0 K, eV per atom: -0.151
Total magnetization, μB/cell: 0.000

Record 3
Here is a relaxed Ac2SmAg2 crystal from the Alexandria database. Energies are from PBE-GGA.

abc: 6.0521 6.6846 8.9012
angles: 112.05 90.00 90.00
Closest atoms and distances in Å follow each position.
Element x y z (fractional)
Ag: 0.7500 0.8598 0.2495  2 Sm 3.11, 1 Ag 3.14, 1 Ac 3.17
Sm: 0.5000 0.0000 0.0000  2 Sm 3.03, 4 Ag 3.11
Ac: 0.7500 0.7919 0.5838  2 Ag 3.17
Ag: 0.2500 0.6103 0.7505  2 Sm 3.11, 1 Ag 3.14, 1 Ac 3.17
Sm: 0.0000 0.0000 0.0000  2 Sm 3.03, 4 Ag 3.11
Ac: 0.7500 0.4183 0.8367  6 Ag 3.48-3.75
Ag: 0.7500 0.3897 0.2495  2 Sm 3.11, 1 Ag 3.14, 1 Ac 3.17
Ag: 0.2500 0.1402 0.7505  2 Sm 3.11, 1 Ag 3.14, 1 Ac 3.17
Ac: 0.2500 0.2081 0.4162  2 Ag 3.17
Ac: 0.2500 0.5817 0.1633  6 Ag 3.48-3.75

## Properties
Offset from the most stable computed form, meV/atom: 132
Crystal system: orthorhombic
Uncorrected energy, eV/atom: -3.7613
Fermi-level density of states, states/eV per cell: 12.8
Formation enthalpy at 0 K, eV per atom: -0.034
Total magnetization, μB/cell: 0.000

Record 4
Here is a relaxed Ac2SmAg2 crystal from the Alexandria database. Energies are from PBE-GGA.

abc: 5.0038 6.9477 10.2977
angles: 81.61 75.94 68.89
Closest atoms and distances in Å follow each position.
Element x y z (fractional)
Ac: 0.5260 0.6354 0.3125  6 Ag 3.44-3.61, 3 Sm 3.75-3.76
Ac: 0.3170 0.2722 0.0938  4 Ag 3.27-3.61
Sm: 0.2077 0.9450 0.6395  4 Ag 3.04-3.10
Ag: 0.9653 0.1724 0.8971  1 Ag 2.94, 1 Sm 3.05, 2 Ac 3.27
Ag: 0.8707 0.6910 0.5675  1 Ag 2.89, 3 Sm 3.04-3.10
Ag: 0.1293 0.3090 0.4325  1 Ag 2.89, 3 Sm 3.04-3.10
Ac: 0.4740 0.3646 0.6875  6 Ag 3.44-3.61, 3 Sm 3.75-3.76
Ag: 0.0347 0.8276 0.1029  1 Ag 2.94, 1 Sm 3.05, 2 Ac 3.27
Ac: 0.6830 0.7278 0.9062  4 Ag 3.27-3.61
Sm: 0.7923 0.0550 0.3605  4 Ag 3.04-3.10

## Properties
Offset from the most stable computed form, meV/atom: 0
Crystal system: monoclinic
Uncorrected energy, eV/atom: -3.8936
Fermi-level density of states, states/eV per cell: 11.4
Formation enthalpy at 0 K, eV per atom: -0.166
Total magnetization, μB/cell: 0.000